Entry 1:
VASP calculation (GGA-PBEsol) on crystalline YSnSe2Br at its relaxed geometry.

Unit cell a=5.2591 b=5.4282 c=5.4282 alpha=90.00 beta=90.00 gamma=90.00
Sites, in units of the cell vectors:
Y: 0.0000 0.0000 0.0000
Se: 0.0000 0.0000 0.5000
Se: 0.0000 0.5000 0.0000
Sn: 0.5000 0.5000 0.5000
Br: 0.5000 0.0000 0.0000

## Properties
The value obtained for the size of the total moment is 0.00 μB per cell. As for the final energy: -24.5 eV for the cell shown. As for the space group: P4/mmm. The uncorrected formation energy is -0.768 eV/atom.


Entry 2:
VASP calculation (GGA-PBEsol) on crystalline YSnSe2Br at its relaxed geometry.

Unit cell a=5.1995 b=5.2908 c=5.2908 alpha=90.00 beta=90.00 gamma=90.00
Last column: magnetic moment on the atom in μB.
Sites, in units of the cell vectors:
Y: 0.5000 0.5000 0.5000  0.20
Se: 0.0000 0.0000 0.5000  -0.01
Se: 0.0000 0.5000 0.0000  -0.01
Sn: 0.0000 0.0000 0.0000  0.00
Br: 0.5000 0.0000 0.0000  0.00

## Properties
The value obtained for the size of the total moment is 0.29 μB per cell. As for the final energy: -22.2 eV for the cell shown. As for the space group: P4/mmm. The uncorrected formation energy is -0.314 eV/atom.


Entry 3:
VASP calculation (GGA-PBEsol) on crystalline Sr2SeBr at its relaxed geometry.

Unit cell a=5.3248 b=5.3266 c=5.3266 alpha=60.04 beta=60.01 gamma=60.01
Sites, in units of the cell vectors:
Br: 0.5000 0.0000 0.0000
Se: 0.0000 0.5000 0.5000
Sr: 0.2500 0.7500 0.7500
Sr: 0.7500 0.2500 0.2500

## Properties
The value obtained for the size of the total moment is 0.00 μB per cell. As for the final energy: -15.7 eV for the cell shown. As for the space group: Fm-3m. The uncorrected formation energy is -1.579 eV/atom.


Entry 4:
VASP calculation (GGA-PBEsol) on crystalline Sr2SeBr at its relaxed geometry.

Unit cell a=3.8359 b=5.2942 c=5.2942 alpha=89.99 beta=90.03 gamma=90.03
Sites, in units of the cell vectors:
Br: 0.5000 0.5000 0.5000
Se: 0.5000 0.0000 0.0000
Sr: 0.0000 0.5000 0.0000
Sr: 0.0000 0.0000 0.5000

## Properties
The value obtained for the size of the total moment is 0.00 μB per cell. As for the final energy: -15.6 eV for the cell shown. As for the space group: P4/mmm. The uncorrected formation energy is -1.553 eV/atom.


Entry 5:
VASP calculation (GGA-PBEsol) on crystalline SrTeSeBr2 at its relaxed geometry.

Unit cell a=5.4445 b=5.6290 c=5.6290 alpha=90.00 beta=90.00 gamma=90.00
Sites, in units of the cell vectors:
Sr: 0.5000 0.5000 0.5000
Te: 0.0000 0.0000 0.0000
Se: 0.5000 0.0000 0.0000
Br: 0.0000 0.0000 0.5000
Br: 0.0000 0.5000 0.0000

## Properties
The value obtained for the size of the total moment is 0.00 μB per cell. As for the final energy: -16.1 eV for the cell shown. As for the space group: P4/mmm. The uncorrected formation energy is -0.631 eV/atom.


Entry 6:
VASP calculation (GGA-PBEsol) on crystalline SrWSe2Br at its relaxed geometry.

Unit cell a=4.8849 b=4.8849 c=5.3242 alpha=90.00 beta=90.00 gamma=90.00
Sites, in units of the cell vectors:
Sr: 0.5000 0.5000 0.5000
Se: 0.0000 0.5000 0.0000
Se: 0.5000 0.0000 0.0000
Br: 0.0000 0.0000 0.5000
W: 0.0000 0.0000 0.0000

## Properties
The value obtained for the size of the total moment is 0.00 μB per cell. As for the final energy: -27.8 eV for the cell shown. As for the space group: P4/mmm. The uncorrected formation energy is -0.523 eV/atom.


Entry 7:
VASP calculation (GGA-PBEsol) on crystalline SrYSe2Br at its relaxed geometry.

Unit cell a=5.3293 b=5.6064 c=5.6064 alpha=90.00 beta=90.00 gamma=90.00
Sites, in units of the cell vectors:
Y: 0.5000 0.5000 0.5000
Sr: 0.0000 0.0000 0.0000
Se: 0.0000 0.0000 0.5000
Se: 0.0000 0.5000 0.0000
Br: 0.5000 0.0000 0.0000

## Properties
The value obtained for the size of the total moment is 0.00 μB per cell. As for the final energy: -21.8 eV for the cell shown. As for the space group: P4/mmm. The uncorrected formation energy is -0.710 eV/atom.


Entry 8:
VASP calculation (GGA-PBEsol) on crystalline Ta2SeBr at its relaxed geometry.

Unit cell a=3.0968 b=4.5710 c=5.7602 alpha=113.38 beta=105.59 gamma=90.00
Sites, in units of the cell vectors:
Br: 0.5109 0.5109 0.0217
Se: 0.7270 0.2270 0.4540
Ta: 0.0186 0.0186 0.0371
Ta: 0.2436 0.7436 0.4872

## Properties
The value obtained for the size of the total moment is 0.00 μB per cell. As for the final energy: -30.2 eV for the cell shown. As for the space group: Imm2. The uncorrected formation energy is 0.168 eV/atom.